Computed, not measured: an optimized crystal structure of LuMgIn2 at the GGA-PBE level of DFT.

The value obtained for the magnetization is 0.0000 μB per atom. The calculated formation energy is -335 meV/atom. As for the total energy: -12.93 eV for the cell shown.

a b c (Å): 4.458 4.587 4.587
angles (deg): 90.00 90.00 90.00
Sites, in units of the cell vectors:
Mg 0.500 0.000 0.000
Lu 0.500 0.500 0.500
In 0.000 0.000 0.500
In 0.000 0.500 0.000

=====

Computed, not measured: an optimized crystal structure of NdLuMgIn at the GGA-PBE level of DFT.

The value obtained for the magnetization is 0.0000 μB per atom. The calculated formation energy is -301 meV/atom. As for the total energy: -14.82 eV for the cell shown.

a b c (Å): 5.346 5.346 5.346
angles (deg): 60.00 60.00 60.00
Sites, in units of the cell vectors:
Mg 0.000 0.000 0.000
Lu 0.250 0.250 0.250
Nd 0.750 0.750 0.750
In 0.500 0.500 0.500

=====

Computed, not measured: an optimized crystal structure of PrLuMgIn at the GGA-PBE level of DFT.

The value obtained for the magnetization is 0.0000 μB per atom. The calculated formation energy is -298 meV/atom. As for the total energy: -14.83 eV for the cell shown.

a b c (Å): 5.367 5.367 5.367
angles (deg): 60.00 60.00 60.00
Sites, in units of the cell vectors:
Pr 0.750 0.750 0.750
Mg 0.000 0.000 0.000
Lu 0.250 0.250 0.250
In 0.500 0.500 0.500

=====

Computed, not measured: an optimized crystal structure of LuMgInPt at the GGA-PBE level of DFT.

The value obtained for the magnetization is 0.0000 μB per atom. The calculated formation energy is -667 meV/atom. As for the total energy: -17.56 eV for the cell shown.

a b c (Å): 4.865 4.865 4.865
angles (deg): 60.00 60.00 60.00
Sites, in units of the cell vectors:
Mg 0.250 0.250 0.250
Lu 0.750 0.750 0.750
Pt 0.000 0.000 0.000
In 0.500 0.500 0.500

=====

Computed, not measured: an optimized crystal structure of LuPuMgIn at the GGA-PBE level of DFT.

The value obtained for the magnetization is 1.5532 μB per atom. The calculated formation energy is -106 meV/atom. As for the total energy: -23.61 eV for the cell shown.

a b c (Å): 5.294 5.294 5.294
angles (deg): 60.00 60.00 60.00
Sites, in units of the cell vectors:
Mg 0.000 0.000 0.000
Lu 0.750 0.750 0.750
In 0.500 0.500 0.500
Pu 0.250 0.250 0.250

=====

Computed, not measured: an optimized crystal structure of LuMgInRh at the GGA-PBE level of DFT.

The value obtained for the magnetization is 0.0000 μB per atom. The calculated formation energy is -445 meV/atom. As for the total energy: -17.99 eV for the cell shown.

a b c (Å): 4.839 4.839 4.839
angles (deg): 60.00 60.00 60.00
Sites, in units of the cell vectors:
Mg 0.750 0.750 0.750
Lu 0.250 0.250 0.250
Rh 0.000 0.000 0.000
In 0.500 0.500 0.500

=====

Computed, not measured: an optimized crystal structure of LuMgScIn at the GGA-PBE level of DFT.

The value obtained for the magnetization is 0.0001 μB per atom. The calculated formation energy is -273 meV/atom. As for the total energy: -16.28 eV for the cell shown.

a b c (Å): 5.121 5.121 5.121
angles (deg): 60.00 60.00 60.00
Sites, in units of the cell vectors:
Sc 0.000 0.000 0.000
Mg 0.750 0.750 0.750
Lu 0.500 0.500 0.500
In 0.250 0.250 0.250

=====

Computed, not measured: an optimized crystal structure of SmLuMgIn at the GGA-PBE level of DFT.

The value obtained for the magnetization is 0.0000 μB per atom. The calculated formation energy is -300 meV/atom. As for the total energy: -14.77 eV for the cell shown.

a b c (Å): 5.314 5.314 5.314
angles (deg): 60.00 60.00 60.00
Sites, in units of the cell vectors:
Mg 0.000 0.000 0.000
Lu 0.750 0.750 0.750
Sm 0.250 0.250 0.250
In 0.500 0.500 0.500